(1)
# TiCdTeN2

A geometry-optimized TiCdTeN2 structure (GGA-PBE, Alexandria).

abc: 4.1778 4.1778 5.7297
angles: 90.00 90.00 90.00
Closest atoms and distances in Å follow each position.
Sites, in units of the cell vectors:
Cd  0.0000  0.0000  0.0000  4 N 2.09
Ti  0.5000  0.5000  0.5000  4 Te 2.95
Te  0.0000  0.0000  0.5000  2 Cd 2.86, 4 Ti 2.95
N  0.0000  0.5000  0.0000  2 Cd 2.09
N  0.5000  0.0000  0.0000  2 Cd 2.09

Calculated values
Crystal system = tetragonal
Mass density = 5.2 g/cm3
Relative energy among the computed polymorphs = 1412.4 meV/atom
E_form (uncorrected) = 1681 meV/atom

(2)
# VCdTe2N

A geometry-optimized VCdTe2N structure (GGA-PBE, Alexandria).

abc: 5.6943 5.6943 4.0682
angles: 90.00 90.00 90.00
Closest atoms and distances in Å follow each position.
Sites, in units of the cell vectors:
Te  0.5000  0.0000  0.0000  2 Cd 2.85
Te  0.0000  0.5000  0.0000  2 Cd 2.85
N  0.0000  0.0000  0.5000  2 Cd 2.03
V  0.5000  0.5000  0.5000  8 Te 3.50
Cd  0.0000  0.0000  0.0000  2 N 2.03

Calculated values
Crystal system = tetragonal
Mass density = 5.4 g/cm3
Relative energy among the computed polymorphs = 1190.8 meV/atom
E_form (uncorrected) = 1229 meV/atom

(3)
# VCd2TeN

A geometry-optimized VCd2TeN structure (GGA-PBE, Alexandria).

abc: 5.7993 3.9552 5.7993
angles: 90.00 90.00 90.00
Closest atoms and distances in Å follow each position.
Sites, in units of the cell vectors:
Cd  0.0000  0.0000  0.5000  2 Te 2.90
Cd  0.5000  0.0000  0.0000  2 Te 2.90
Te  0.0000  0.0000  0.0000  2 N 1.98
V  0.5000  0.5000  0.5000  8 Cd 3.51
N  0.0000  0.5000  0.0000  2 Te 1.98

Calculated values
Crystal system = tetragonal
Mass density = 5.2 g/cm3
E_form (uncorrected) = 1591 meV/atom

(4)
# VCdTeN2

A geometry-optimized VCdTeN2 structure (GGA-PBE, Alexandria).

abc: 4.1231 4.1231 5.8163
angles: 90.00 90.00 90.00
Closest atoms and distances in Å follow each position.
Sites, in units of the cell vectors:
V  0.5000  0.5000  0.5000  4 Te 2.92
N  0.5000  0.0000  0.0000  2 Cd 2.06
N  0.0000  0.5000  0.0000  2 Cd 2.06
Cd  0.0000  0.0000  0.0000  4 N 2.06
Te  0.0000  0.0000  0.5000  2 Cd 2.91, 4 V 2.92

Calculated values
Crystal system = tetragonal
Mass density = 5.4 g/cm3
Relative energy among the computed polymorphs = 1704.8 meV/atom
E_form (uncorrected) = 2068 meV/atom

(5)
# VCdTe2N

A geometry-optimized VCdTe2N structure (GGA-PBE, Alexandria).

abc: 5.5240 5.5240 3.6405
angles: 90.00 90.00 90.00
Closest atoms and distances in Å follow each position.
Sites, in units of the cell vectors:
Te  0.5000  0.0000  0.0000  2 V 2.76
Te  0.0000  0.5000  0.0000  2 V 2.76
N  0.0000  0.0000  0.5000  2 V 1.82
Cd  0.5000  0.5000  0.5000  8 Te 3.31, 2 Cd 3.64
V  0.0000  0.0000  0.0000  2 N 1.82

Calculated values
Crystal system = tetragonal
Mass density = 6.5 g/cm3
Relative energy among the computed polymorphs = 0.0 meV/atom
E_form (uncorrected) = 38 meV/atom

(6)
# VCdTeN2

A geometry-optimized VCdTeN2 structure (GGA-PBE, Alexandria).

abc: 3.9024 3.9024 5.6673
angles: 90.00 90.00 90.00
Closest atoms and distances in Å follow each position.
Sites, in units of the cell vectors:
Te  0.0000  0.0000  0.5000  4 Cd 2.76, 2 V 2.83
Cd  0.5000  0.5000  0.5000  4 Te 2.76
V  0.0000  0.0000  0.0000  4 N 1.95
N  0.5000  0.0000  0.0000  2 V 1.95
N  0.0000  0.5000  0.0000  2 V 1.95

Calculated values
Crystal system = tetragonal
Mass density = 6.1 g/cm3
Relative energy among the computed polymorphs = 0.0 meV/atom
E_form (uncorrected) = 363 meV/atom

(7)
# CdTeWN2

A geometry-optimized CdTeWN2 structure (GGA-PBE, Alexandria).

abc: 3.9922 3.9922 5.7730
angles: 90.00 90.00 90.00
Closest atoms and distances in Å follow each position.
Sites, in units of the cell vectors:
N  0.5000  0.0000  0.0000  2 W 2.00
N  0.0000  0.5000  0.0000  2 W 2.00
Cd  0.5000  0.5000  0.5000  4 Te 2.82
Te  0.0000  0.0000  0.5000  4 Cd 2.82, 2 W 2.89
W  0.0000  0.0000  0.0000  4 N 2.00

Calculated values
Crystal system = tetragonal
Mass density = 8.2 g/cm3
Relative energy among the computed polymorphs = 0.0 meV/atom
E_form (uncorrected) = 343 meV/atom

(8)
# CdTeWN2

A geometry-optimized CdTeWN2 structure (GGA-PBE, Alexandria).

abc: 4.1384 4.1384 7.2320
angles: 90.00 90.00 90.00
Closest atoms and distances in Å follow each position.
Sites, in units of the cell vectors:
Te  0.0000  0.0000  0.5000  4 W 2.93
Cd  0.0000  0.0000  0.0000  4 N 2.07
N  0.5000  0.0000  0.0000  2 Cd 2.07
N  0.0000  0.5000  0.0000  2 Cd 2.07
W  0.5000  0.5000  0.5000  4 Te 2.93

Calculated values
Crystal system = tetragonal
Mass density = 6.1 g/cm3
Relative energy among the computed polymorphs = 2067.0 meV/atom
E_form (uncorrected) = 2410 meV/atom

(9)
# YCdTe2N

A geometry-optimized YCdTe2N structure (GGA-PBE, Alexandria).

abc: 5.7037 5.7037 4.1789
angles: 90.00 90.00 90.00
Closest atoms and distances in Å follow each position.
Sites, in units of the cell vectors:
N  0.0000  0.0000  0.5000  2 Cd 2.09
Cd  0.0000  0.0000  0.0000  2 N 2.09
Y  0.5000  0.5000  0.5000  8 Te 3.54
Te  0.5000  0.0000  0.0000  2 Cd 2.85
Te  0.0000  0.5000  0.0000  2 Cd 2.85

Calculated values
Crystal system = tetragonal
Mass density = 5.7 g/cm3
Relative energy among the computed polymorphs = 150.6 meV/atom
E_form (uncorrected) = 343 meV/atom

(10)
# YCd2TeN

A geometry-optimized YCd2TeN structure (GGA-PBE, Alexandria).

abc: 4.4656 5.8088 4.4656
angles: 90.00 90.00 90.00
Closest atoms and distances in Å follow each position.
Sites, in units of the cell vectors:
Y  0.5000  0.5000  0.5000  4 Te 3.16
N  0.0000  0.0000  0.0000  4 Cd 2.23
Cd  0.0000  0.0000  0.5000  2 N 2.23
Cd  0.5000  0.0000  0.0000  2 N 2.23
Te  0.0000  0.5000  0.0000  2 N 2.90, 4 Y 3.16

Calculated values
Crystal system = tetragonal
Mass density = 6.5 g/cm3
E_form (uncorrected) = 234 meV/atom

(11)
# YCdTe2N

A geometry-optimized YCdTe2N structure (GGA-PBE, Alexandria).

abc: 6.1312 6.1312 4.0612
angles: 90.00 90.00 90.00
Closest atoms and distances in Å follow each position.
Sites, in units of the cell vectors:
Y  0.0000  0.0000  0.0000  2 N 2.03
Te  0.0000  0.5000  0.0000  2 Y 3.07
Te  0.5000  0.0000  0.0000  2 Y 3.07
Cd  0.5000  0.5000  0.5000  8 Te 3.68, 2 Cd 4.06
N  0.0000  0.0000  0.5000  2 Y 2.03

Calculated values
Crystal system = tetragonal
Mass density = 5.1 g/cm3
Relative energy among the computed polymorphs = 0.0 meV/atom
E_form (uncorrected) = 192 meV/atom

(12)
# ZnCdTe2N

A geometry-optimized ZnCdTe2N structure (GGA-PBE, Alexandria).

abc: 5.8282 5.8282 4.0639
angles: 90.00 90.00 90.00
Closest atoms and distances in Å follow each position.
Sites, in units of the cell vectors:
Cd  0.0000  0.0000  0.0000  2 N 2.03
Te  0.0000  0.5000  0.0000  2 Cd 2.91
Te  0.5000  0.0000  0.0000  2 Cd 2.91
N  0.0000  0.0000  0.5000  2 Cd 2.03
Zn  0.5000  0.5000  0.5000  8 Te 3.55

Calculated values
Crystal system = tetragonal
Mass density = 5.4 g/cm3
Relative energy among the computed polymorphs = 408.4 meV/atom
E_form (uncorrected) = 1083 meV/atom

(13)
# ZnCdTe2N

A geometry-optimized ZnCdTe2N structure (GGA-PBE, Alexandria).

abc: 5.8545 5.8545 3.5897
angles: 90.00 90.00 90.00
Closest atoms and distances in Å follow each position.
Sites, in units of the cell vectors:
N  0.0000  0.0000  0.5000  2 Zn 1.79
Zn  0.0000  0.0000  0.0000  2 N 1.79
Cd  0.5000  0.5000  0.5000  8 Te 3.43, 2 Cd 3.59
Te  0.0000  0.5000  0.0000  2 Zn 2.93
Te  0.5000  0.0000  0.0000  2 Zn 2.93

Calculated values
Crystal system = tetragonal
Mass density = 6.0 g/cm3
Relative energy among the computed polymorphs = 0.0 meV/atom
E_form (uncorrected) = 674 meV/atom

(14)
# ZrCdTeN2

A geometry-optimized ZrCdTeN2 structure (GGA-PBE, Alexandria).

abc: 4.2209 4.2209 5.5188
angles: 90.00 90.00 90.00
Closest atoms and distances in Å follow each position.
Sites, in units of the cell vectors:
Zr  0.5000  0.5000  0.5000  4 Te 2.98
N  0.5000  0.0000  0.0000  2 Cd 2.11
N  0.0000  0.5000  0.0000  2 Cd 2.11
Cd  0.0000  0.0000  0.0000  4 N 2.11
Te  0.0000  0.0000  0.5000  2 Cd 2.76, 4 Zr 2.98

Calculated values
Crystal system = tetragonal
Mass density = 6.1 g/cm3
Relative energy among the computed polymorphs = 1202.0 meV/atom
E_form (uncorrected) = 1472 meV/atom

Quick rundown of energy, same order as above: -4.040, -3.700, -2.892, -3.897, -4.891, -5.602, -6.389, -4.322, -4.054, -3.718, -4.205, -2.277, -2.685, -4.379 eV/atom